FePAu2O after structural relaxation, computed with GGA-PBEsol.

CIF file:
```
data_FePAu2O
_cell_length_a 4.6625
_cell_length_b 4.6625
_cell_length_c 3.5554
_cell_angle_alpha 90.00
_cell_angle_beta 90.00
_cell_angle_gamma 90.00
_space_group_name_H-M_alt 'P 4/m m m'
_space_group_IT_number 123
_space_group_name_Hall '-P 4 2'
loop_
_atom_site_label
_atom_site_type_symbol
_atom_site_fract_x
_atom_site_fract_y
_atom_site_fract_z
Fe1 Fe 0.0000 0.0000 0.0000
P1 P 0.5000 0.5000 0.0000
Au1 Au 0.0000 0.5000 0.5000
O1 O 0.0000 0.0000 0.5000
```

Results
Electronic total energy, eV per atom: -5.135
Formation energy without anion corrections, eV per formula unit: 2.2
DOS(E_F), states/eV per atom: 0.83